(1)
An optimized crystal structure of SrTaBe, computed with PBE.

POSCAR file:
```
SrTaBe
1.0
-1.248 -1.565 -2.540
2.976 1.252 -0.175
2.677 -6.026 2.398
Be Ta Sr
1 1 1
direct
0.000 0.000 0.965
0.333 0.667 0.722
0.667 0.333 0.313
```

Values from the calculation:
Mass density in Mg/m³: 7.26
Relative energy among the computed polymorphs in meV/atom: 317.2

=====

(2)
An optimized crystal structure of KYCd2, computed with PBE.

POSCAR file:
```
KYCd2
1.0
3.776 0.000 0.000
0.000 3.776 0.000
0.000 0.000 9.354
Y Cd K
1 2 1
direct
0.500 0.500 0.831
0.500 0.500 0.192
0.000 0.000 0.015
0.000 0.000 0.461
```

Values from the calculation:
Mass density in Mg/m³: 4.39
Relative energy among the computed polymorphs in meV/atom: 170.3

=====

(3)
An optimized crystal structure of LaYTaN3, computed with PBE.

POSCAR file:
```
LaYTaN3
1.0
3.490 0.000 0.000
0.000 7.517 1.135
0.000 -1.639 7.843
Y N La Ta
2 6 2 2
direct
0.750 0.389 0.847
0.250 0.611 0.153
0.250 0.837 0.544
0.750 0.389 0.125
0.250 0.611 0.875
0.750 0.163 0.456
0.250 0.151 0.828
0.750 0.849 0.172
0.750 0.837 0.833
0.250 0.163 0.167
0.750 0.878 0.418
0.250 0.122 0.582
```

Values from the calculation:
Mass density in Mg/m³: 7.05
Energy relative to the elements, uncorrected in meV per atom: -1109.5